Density functional theory data (GGA-PBE) for NaPt2Se after structural relaxation.

Raw total energy in eV for the cell shown: -35.64
Formation energy (no corrections) in meV per atom: -234
Size of the total moment in μB/atom: 0.0000

a b c (Å): 8.787 8.787 8.787
angles (deg): 145.19 145.19 50.05
Fractional positions:
1 Na 0.000 0.000 0.000
2 Na 0.750 0.250 0.500
3 Pt 0.344 0.625 0.219
4 Pt 0.375 0.594 0.719
5 Pt 0.406 0.125 0.781
6 Pt 0.875 0.656 0.281
7 Se 0.250 0.750 0.500
8 Se 0.500 0.500 0.000



Density functional theory data (GGA-PBE) for NaMgAg2F8 after structural relaxation.

Raw total energy in eV for the cell shown: -45.61
Formation energy (no corrections) in meV per atom: -1836
Size of the total moment in μB/atom: 0.2531

a b c (Å): 6.530 6.530 6.530
angles (deg): 132.26 132.26 69.81
Fractional positions:
1 Na 0.000 0.000 0.000
2 Mg 0.750 0.250 0.500
3 Ag 0.250 0.750 0.500
4 Ag 0.500 0.500 0.000
5 F 0.116 0.131 0.510
6 F 0.116 0.605 0.985
7 F 0.395 0.379 0.510
8 F 0.395 0.884 0.015
9 F 0.621 0.131 0.015
10 F 0.621 0.605 0.490
11 F 0.869 0.379 0.985
12 F 0.869 0.884 0.490



Density functional theory data (GGA-PBE) for AsP2AuO after structural relaxation.

Raw total energy in eV for the cell shown: -19.38
Formation energy (no corrections) in meV per atom: 864
Size of the total moment in μB/atom: 0.0080

a b c (Å): 4.882 4.882 3.897
angles (deg): 90.00 90.00 90.00
Fractional positions:
1 As 0.000 0.000 0.000
2 P 0.000 0.500 0.500
3 P 0.500 0.000 0.500
4 Au 0.500 0.500 0.500
5 O 0.500 0.500 0.000